Record 1
ScGa3B: optimized geometry, PBE.

## Properties
ΔH_f (0 K) (eV/atom): 1.433
SG: Pm-3m, No. 221
ΔE to the lowest computed polymorph (eV per atom): 1.1839
DOS at the Fermi energy (states/eV/atom): 0.91
Total magnetic moment (μB per cell): 0.00
Calculated volume (Å³ per cell): 142

Cell: 5.2115 5.2115 5.2115 Å, 90.00 90.00 90.00°
Closest atoms and distances in Å follow each position.
Sites, in units of the cell vectors:
Ga 0.0000 0.5000 0.0000  2 Sc 2.61
B 0.5000 0.5000 0.5000  12 Ga 3.69
Sc 0.0000 0.0000 0.0000  6 Ga 2.61
Ga 0.5000 0.0000 0.0000  2 Sc 2.61
Ga 0.0000 0.0000 0.5000  2 Sc 2.61

***

Record 2
ScGaB3: optimized geometry, PBE.

## Properties
ΔH_f (0 K) (eV/atom): 1.249
SG: Pm-3m, No. 221
ΔE to the lowest computed polymorph (eV per atom): 0.0000
DOS at the Fermi energy (states/eV/atom): 0.49
Total magnetic moment (μB per cell): 0.00
Calculated volume (Å³ per cell): 67

Cell: 4.0691 4.0691 4.0691 Å, 90.00 90.00 90.00°
Closest atoms and distances in Å follow each position.
Sites, in units of the cell vectors:
B 0.0000 0.5000 0.0000  2 Ga 2.03
Sc 0.5000 0.5000 0.5000  12 B 2.88
Ga 0.0000 0.0000 0.0000  6 B 2.03
B 0.0000 0.0000 0.5000  2 Ga 2.03
B 0.5000 0.0000 0.0000  2 Ga 2.03

***

Record 3
ScGa3B: optimized geometry, PBE.

## Properties
ΔH_f (0 K) (eV/atom): 0.249
SG: Pm-3m, No. 221
ΔE to the lowest computed polymorph (eV per atom): 0.0000
DOS at the Fermi energy (states/eV/atom): 0.40
Total magnetic moment (μB per cell): 0.00
Calculated volume (Å³ per cell): 85

Cell: 4.3955 4.3955 4.3955 Å, 90.00 90.00 90.00°
Closest atoms and distances in Å follow each position.
Sites, in units of the cell vectors:
B 0.0000 0.0000 0.0000  6 Ga 2.20
Ga 0.0000 0.0000 0.5000  2 B 2.20
Ga 0.0000 0.5000 0.0000  2 B 2.20
Ga 0.5000 0.0000 0.0000  2 B 2.20
Sc 0.5000 0.5000 0.5000  12 Ga 3.11